29
Lattice="-5.587 3.246 -8.257 -5.081 -7.812 4.805 1.295 7.965 6.694" Properties=species:S:1:pos:R:3 comment="Na5Tl24 | the Alexandria database | GGA-PBE | optimized geometry" formation_energy_ev_per_atom=-0.0428 n_ef_per_ev_atom=0.41 total_energy_ev_per_atom=-2.23 pbc="T T T"
Na -1.851 -2.846 1.750
Na -2.035 1.183 -3.008
Na -5.959 2.161 2.061
Na 0.472 2.901 2.438
Na 0.000 0.000 0.000
Tl -7.704 -2.272 -3.666
Tl -7.611 -4.283 -1.290
Tl -3.745 -0.255 -0.071
Tl -0.981 5.643 4.816
Tl -2.138 1.545 8.425
Tl -3.297 -1.325 8.082
Tl -5.295 2.685 -4.556
Tl -2.429 0.648 2.789
Tl -4.978 -4.247 3.632
Tl -2.526 2.763 0.291
Tl -3.707 7.618 -2.482
Tl -2.455 8.477 0.238
Tl -4.818 -3.655 0.263
Tl -4.961 -0.530 -3.427
Tl -3.342 3.887 3.420
Tl -6.920 -0.868 -0.466
Tl -2.636 -2.159 5.003
Tl -0.835 2.299 5.537
Tl -4.164 1.022 5.520
Tl -5.525 2.391 -1.320
Tl -4.367 5.450 0.290
Tl -5.364 -1.116 2.821
Tl -0.995 5.805 1.396
Tl -2.940 4.472 -2.828